DFT (PBE-GGA) results for crystalline Li2MoAu at its relaxed geometry.

Cell lengths 2.8174, 2.8174, 29.2556 Å; angles 90.00, 90.00, 120.00 degrees
Last column: nearest neighbours and their distance in Å.
Space group R3m (No. 160, hexagonal axes)
Asymmetric unit:
Li (0.0000, 0.0000, 0.0000) x3  3 Au 2.75, 6 Li 2.82
Li (0.0000, 0.0000, 0.2425) x3  9 Li 2.82-3.12, 3 Mo 2.93
Mo (0.0000, 0.0000, 0.4923) x3  6 Mo 2.82, 3 Au 2.92, 3 Li 2.93
Au (0.0000, 0.0000, 0.7426) x3  3 Li 2.75, 6 Au 2.82, 3 Mo 2.92

- calculated formation energy (meV/atom) = 196